(1)
First-principles (GGA-PBE) data for crystalline Pa2Si2Pd5 at its relaxed geometry, as listed in Alexandria via LeMat-Bulk.

Computed properties:
DOS at the Fermi energy ... 10.92 states/eV per cell
Calculated volume ... 17.6 Å³/atom
E_tot ... -62.017 eV/f.u.

abc: 4.0991 4.0991 9.4325
angles: 90.00 90.00 90.00
Last column: magnetic moment on the atom in μB.
Fractional positions:
Si  0.5000  0.5000  0.1241  0.00
Si  0.5000  0.5000  0.8759  0.00
Pd  0.5000  0.5000  0.5000  0.02
Pd  0.0000  0.5000  0.7250  0.03
Pd  0.5000  0.0000  0.7250  0.03
Pd  0.0000  0.5000  0.2750  0.03
Pd  0.5000  0.0000  0.2750  0.03
Pa  0.0000  0.0000  0.0000  0.80
Pa  0.0000  0.0000  0.5000  0.29

***

(2)
First-principles (GGA-PBE) data for crystalline ZrRe2Te at its relaxed geometry, as listed in Alexandria via LeMat-Bulk.

Computed properties:
DOS at the Fermi energy ... 3.37 states/eV per cell
Calculated volume ... 18.8 Å³/atom
E_tot ... -35.118 eV/f.u.

abc: 4.7996 3.1040 5.0617
angles: 92.15 90.00 90.00
Fractional positions:
Te  0.5000  0.2500  0.2500
Re  0.0000  0.3891  0.5215
Re  0.0000  0.1109  0.9785
Zr  0.5000  0.7500  0.7500

***

(3)
First-principles (GGA-PBE) data for crystalline ReAgO2F at its relaxed geometry, as listed in Alexandria via LeMat-Bulk.

Computed properties:
DOS at the Fermi energy ... 2.89 states/eV per cell
Calculated volume ... 14.2 Å³/atom
E_tot ... -23.259 eV/f.u.

abc: 4.1459 4.1459 4.1254
angles: 90.00 90.00 90.00
Last column: magnetic moment on the atom in μB.
Fractional positions:
O  0.0000  0.5000  0.0000  -0.01
O  0.5000  0.0000  0.0000  -0.01
Ag  0.0000  0.0000  0.0000  -0.01
F  0.0000  0.0000  0.5000  0.07
Re  0.5000  0.5000  0.5000  3.99